(1)
Here is NbAuNO after structural relaxation from the Open Quantum Materials Database. Energies are from PBE.

The structure in CIF format:
```
data_NbAuNO
_chemical_formula_sum 'Nb2 Au2 N2 O2'
_symmetry_space_group_name_H-M 'P 4/n m m'
_symmetry_Int_Tables_number 129
_cell_length_a 3.7274
_cell_length_b 3.7274
_cell_length_c 6.9199
_cell_angle_alpha 90.00
_cell_angle_beta 90.00
_cell_angle_gamma 90.00
loop_
_symmetry_equiv_pos_as_xyz
'x,y,z'
'-x,-y,-z'
'-y+1/2,x,z'
'y+1/2,-x,-z'
'-x+1/2,-y+1/2,z'
'x+1/2,y+1/2,-z'
'y,-x+1/2,z'
'-y,x+1/2,-z'
'x+1/2,-y,-z'
'-x+1/2,y,z'
'-y,-x,-z'
'y,x,z'
'-x,y+1/2,-z'
'x,-y+1/2,z'
'y+1/2,x+1/2,-z'
'-y+1/2,-x+1/2,z'
loop_
_atom_site_label
_atom_site_fract_x
_atom_site_fract_y
_atom_site_fract_z
Nb1 0.2500 0.2500 0.1445
Au1 0.2500 0.7500 0.5000
N1 0.2500 0.2500 0.7826
O1 0.2500 0.7500 0.0000
```

Output
energy above the lowest structure with this stoichiometry = 714.2 meV per atom
calculated total energy = -27.0 eV/f.u.
total magnetic moment = 0.001 μB/cell

=====

(2)
Here is Rb2NpTlF6 after structural relaxation from the Open Quantum Materials Database. Energies are from PBE.

The structure in CIF format:
```
data_Rb2NpTlF6
_chemical_formula_sum 'Rb6 Np3 Tl3 F18'
_symmetry_space_group_name_H-M 'R 3'
_symmetry_Int_Tables_number 146
_symmetry_space_group_name_Hall 'R 3'
_cell_length_a 6.7192
_cell_length_b 6.7192
_cell_length_c 15.1791
_cell_angle_alpha 90.00
_cell_angle_beta 90.00
_cell_angle_gamma 120.00
loop_
_atom_site_label
_atom_site_fract_x
_atom_site_fract_y
_atom_site_fract_z
Rb1 0.0000 0.0000 0.0000
Rb2 0.0000 0.0000 0.4914
Np1 0.0000 0.0000 0.7534
Tl1 0.0000 0.0000 0.2428
F1 0.0170 0.7552 0.8503
F2 0.0720 0.3361 0.3524
```

Output
calculated total energy = -56.3 eV/f.u.
total magnetic moment = 12.000 μB/cell

=====

(3)
Here is Sr2CdSO6 after structural relaxation from the Open Quantum Materials Database. Energies are from PBE.

The structure in CIF format:
```
data_Sr2CdSO6
_chemical_formula_sum 'Sr4 Cd2 S2 O12'
_symmetry_space_group_name_H-M 'I 4/m'
_symmetry_Int_Tables_number 87
_symmetry_space_group_name_Hall '-I 4'
_cell_length_a 5.4650
_cell_length_b 5.4650
_cell_length_c 7.9686
_cell_angle_alpha 90.00
_cell_angle_beta 90.00
_cell_angle_gamma 90.00
loop_
_atom_site_label
_atom_site_fract_x
_atom_site_fract_y
_atom_site_fract_z
Sr1 0.0000 0.5000 0.2500
Cd1 0.0000 0.0000 0.0000
S1 0.0000 0.0000 0.5000
O1 0.0000 0.0000 0.2861
O2 0.1704 0.2586 0.5000
```

Output
calculated total energy = -55.4 eV/f.u.

=====

(4)
Here is YScZnNi after structural relaxation from the Open Quantum Materials Database. Energies are from PBE.

The structure in CIF format:
```
data_YScZnNi
_chemical_formula_sum 'Y4 Sc4 Zn4 Ni4'
_symmetry_space_group_name_H-M 'F -4 3 m'
_symmetry_Int_Tables_number 216
_symmetry_space_group_name_Hall 'F -4 2 3'
_cell_length_a 6.5487
_cell_length_b 6.5487
_cell_length_c 6.5487
_cell_angle_alpha 90.00
_cell_angle_beta 90.00
_cell_angle_gamma 90.00
loop_
_atom_site_label
_atom_site_fract_x
_atom_site_fract_y
_atom_site_fract_z
Y1 0.0000 0.0000 0.0000
Sc1 0.2500 0.2500 0.2500
Zn1 0.0000 0.0000 0.5000
Ni1 0.2500 0.2500 0.7500
```

Output
DFT formation energy = -0.151 eV/atom
calculated total energy = -20.2 eV/f.u.
total magnetic moment = 0.018 μB/cell

=====

(5)
Here is Re3Sn4 after structural relaxation from the Open Quantum Materials Database. Energies are from PBE.

The structure in CIF format:
```
data_Re3Sn4
_chemical_formula_sum 'Re6 Sn8'
_symmetry_space_group_name_H-M 'C 1 2/m 1'
_symmetry_Int_Tables_number 12
_cell_length_a 14.1155
_cell_length_b 3.1828
_cell_length_c 6.8446
_cell_angle_alpha 90.00
_cell_angle_beta 116.22
_cell_angle_gamma 90.00
loop_
_symmetry_equiv_pos_as_xyz
'x,y,z'
'-x,-y,-z'
'-x,y,-z'
'x,-y,z'
'x+1/2,y+1/2,z'
'-x+1/2,-y+1/2,-z'
'-x+1/2,y+1/2,-z'
'x+1/2,-y+1/2,z'
loop_
_atom_site_label
_atom_site_fract_x
_atom_site_fract_y
_atom_site_fract_z
Re1 0.0000 0.0000 0.0000
Re2 0.2441 0.0000 0.3300
Sn1 0.0836 0.0000 0.4435
Sn2 0.1449 0.5000 0.9432
```

Output
energy above the lowest structure with this stoichiometry = 0.0 meV per atom
calculated total energy = -49.8 eV/f.u.
total magnetic moment = 0.005 μB/cell

=====

(6)
Here is AgHgW2 after structural relaxation from the Open Quantum Materials Database. Energies are from PBE.

The structure in CIF format:
```
data_AgHgW2
_chemical_formula_sum 'Ag4 Hg4 W8'
_symmetry_space_group_name_H-M 'F -4 3 m'
_symmetry_Int_Tables_number 216
_symmetry_space_group_name_Hall 'F -4 2 3'
_cell_length_a 6.5534
_cell_length_b 6.5534
_cell_length_c 6.5534
_cell_angle_alpha 90.00
_cell_angle_beta 90.00
_cell_angle_gamma 90.00
loop_
_atom_site_label
_atom_site_fract_x
_atom_site_fract_y
_atom_site_fract_z
Ag1 0.0000 0.0000 0.0000
Hg1 0.2500 0.2500 0.2500
W1 0.0000 0.0000 0.5000
W2 0.2500 0.2500 0.7500
```

Output
DFT formation energy = 0.895 eV/atom
calculated total energy = -25.5 eV/f.u.
total magnetic moment = 0.017 μB/cell

=====

(7)
Here is Sr2GdAl7Ag2 after structural relaxation from the Open Quantum Materials Database. Energies are from PBE.

The structure in CIF format:
```
data_Sr2GdAl7Ag2
_chemical_formula_sum 'Sr6 Gd3 Al21 Ag6'
_symmetry_space_group_name_H-M 'R -3 m'
_symmetry_Int_Tables_number 166
_symmetry_space_group_name_Hall '-R 3 2"'
_cell_length_a 5.6945
_cell_length_b 5.6945
_cell_length_c 27.1993
_cell_angle_alpha 90.00
_cell_angle_beta 90.00
_cell_angle_gamma 120.00
loop_
_atom_site_label
_atom_site_fract_x
_atom_site_fract_y
_atom_site_fract_z
Sr1 0.0000 0.0000 0.1425
Gd1 0.0000 0.0000 0.0000
Al1 0.0000 0.0000 0.5000
Al2 0.0056 0.5028 0.9201
Ag1 0.0000 0.0000 0.3358
```

Output
calculated total energy = -43.4 eV/f.u.
total magnetic moment = 0.002 μB/cell

=====

(8)
Here is NaUCo after structural relaxation from the Open Quantum Materials Database. Energies are from PBE.

The structure in CIF format:
```
data_NaUCo
_chemical_formula_sum 'Na4 U4 Co4'
_symmetry_space_group_name_H-M 'F -4 3 m'
_symmetry_Int_Tables_number 216
_symmetry_space_group_name_Hall 'F -4 2 3'
_cell_length_a 6.4346
_cell_length_b 6.4346
_cell_length_c 6.4346
_cell_angle_alpha 90.00
_cell_angle_beta 90.00
_cell_angle_gamma 90.00
loop_
_atom_site_label
_atom_site_fract_x
_atom_site_fract_y
_atom_site_fract_z
Na1 0.0000 0.0000 0.0000
U1 0.2500 0.2500 0.7500
Co1 0.0000 0.0000 0.5000
```

Output
energy above the lowest structure with this stoichiometry = 0.0 meV per atom
calculated total energy = -15.3 eV/f.u.
total magnetic moment = 10.384 μB/cell

=====

(9)
Here is KNb3As5 after structural relaxation from the Open Quantum Materials Database. Energies are from PBE.

The structure in CIF format:
```
data_KNb3As5
_chemical_formula_sum 'K1 Nb3 As5'
_symmetry_space_group_name_H-M 'P 6/m m m'
_symmetry_Int_Tables_number 191
_symmetry_space_group_name_Hall '-P 6 2'
_cell_length_a 5.6510
_cell_length_b 5.6510
_cell_length_c 8.2311
_cell_angle_alpha 90.00
_cell_angle_beta 90.00
_cell_angle_gamma 120.00
loop_
_atom_site_label
_atom_site_fract_x
_atom_site_fract_y
_atom_site_fract_z
K1 0.0000 0.0000 0.0000
Nb1 0.0000 0.5000 0.5000
As1 0.0000 0.0000 0.5000
As2 0.3333 0.6667 0.2420
```

Output
calculated total energy = -57.8 eV/f.u.
total magnetic moment = 0.002 μB/cell

=====

(10)
Here is DyLuGe2Ir after structural relaxation from the Open Quantum Materials Database. Energies are from PBE.

The structure in CIF format:
```
data_DyLuGe2Ir
_chemical_formula_sum 'Dy4 Lu4 Ge8 Ir4'
_symmetry_space_group_name_H-M 'C 1 2/m 1'
_symmetry_Int_Tables_number 12
_cell_length_a 10.3972
_cell_length_b 4.2916
_cell_length_c 10.2033
_cell_angle_alpha 90.00
_cell_angle_beta 116.55
_cell_angle_gamma 90.00
loop_
_symmetry_equiv_pos_as_xyz
'x,y,z'
'-x,-y,-z'
'-x,y,-z'
'x,-y,z'
'x+1/2,y+1/2,z'
'-x+1/2,-y+1/2,-z'
'-x+1/2,y+1/2,-z'
'x+1/2,-y+1/2,z'
loop_
_atom_site_label
_atom_site_fract_x
_atom_site_fract_y
_atom_site_fract_z
Dy1 0.1905 0.0000 0.1182
Lu1 0.0095 0.0000 0.3314
Ge1 0.0209 0.5000 0.8829
Ge2 0.1442 0.5000 0.5522
Ir1 0.2301 0.5000 0.3379
```

Output
energy above the lowest structure with this stoichiometry = 0.0 meV per atom
calculated total energy = -31.8 eV/f.u.
total magnetic moment = 0.006 μB/cell

=====

(11)
Here is CuReGeW after structural relaxation from the Open Quantum Materials Database. Energies are from PBE.

The structure in CIF format:
```
data_CuReGeW
_chemical_formula_sum 'Cu4 Re4 Ge4 W4'
_symmetry_space_group_name_H-M 'F -4 3 m'
_symmetry_Int_Tables_number 216
_symmetry_space_group_name_Hall 'F -4 2 3'
_cell_length_a 6.0958
_cell_length_b 6.0958
_cell_length_c 6.0958
_cell_angle_alpha 90.00
_cell_angle_beta 90.00
_cell_angle_gamma 90.00
loop_
_atom_site_label
_atom_site_fract_x
_atom_site_fract_y
_atom_site_fract_z
Cu1 0.0000 0.0000 0.0000
Re1 0.2500 0.2500 0.2500
Ge1 0.0000 0.0000 0.5000
W1 0.2500 0.2500 0.7500
```

Output
energy above the lowest structure with this stoichiometry = 109.3 meV per atom
calculated total energy = -31.9 eV/f.u.
total magnetic moment = 0.014 μB/cell

=====

(12)
Here is ZnFeBPt after structural relaxation from the Open Quantum Materials Database. Energies are from PBE.

The structure in CIF format:
```
data_ZnFeBPt
_chemical_formula_sum 'Zn4 Fe4 B4 Pt4'
_symmetry_space_group_name_H-M 'F -4 3 m'
_symmetry_Int_Tables_number 216
_symmetry_space_group_name_Hall 'F -4 2 3'
_cell_length_a 5.6643
_cell_length_b 5.6643
_cell_length_c 5.6643
_cell_angle_alpha 90.00
_cell_angle_beta 90.00
_cell_angle_gamma 90.00
loop_
_atom_site_label
_atom_site_fract_x
_atom_site_fract_y
_atom_site_fract_z
Zn1 0.0000 0.0000 0.0000
Fe1 0.2500 0.2500 0.7500
B1 0.0000 0.0000 0.5000
Pt1 0.2500 0.2500 0.2500
```

Output
energy above the lowest structure with this stoichiometry = 0.0 meV per atom
calculated total energy = -21.3 eV/f.u.
total magnetic moment = 0.100 μB/cell

=====

Which value of calculated total energy does entry 1 give? -27.0 eV/f.u.